## HoVO4 (GGA+U)

Data for a geometry-optimized HoVO4 structure.

Geometry as POSCAR:
```
HoVO4
1.0
-2.4472 -3.4447 4.2383
5.4604 2.1464 1.1807
-3.5847 4.7585 -0.5695
Ho V O
2 2 8
Direct
0.2500 0.7500 0.5000
0.0000 0.0000 0.0000
0.5000 0.5000 0.0000
0.7500 0.2500 0.5000
0.8619 0.6766 0.1854
0.9266 0.6119 0.6854
0.9266 0.2412 0.3146
0.4912 0.6766 0.8146
0.3881 0.0734 0.3146
0.3234 0.1381 0.8146
0.3234 0.5088 0.1854
0.7588 0.0734 0.6854
```

Computed properties:
Magnetic moment (μB per formula unit): 0.000
Calculated total energy (eV/atom): -8.056